Pm8Pr4Nd3 | PBE | optimized geometry

Geometry as POSCAR:
```
Pm8Pr4Nd3
1.0
6.9612 -0.1210 -0.1739
-3.3022 8.8180 1.2190
-3.3022 -1.9179 8.6928
Pm Pr Nd
8 4 3
direct
0.5234 0.2657 0.2657
0.0000 0.6436 0.3564
0.9998 0.2690 0.2690
0.5000 0.7427 0.2573
0.5000 0.2573 0.7427
0.0002 0.7310 0.7310
0.0000 0.3564 0.6436
0.4766 0.7343 0.7343
0.5000 0.0000 0.0000
0.0000 0.5000 0.0000
0.0000 0.0000 0.0000
0.0000 0.0000 0.5000
0.5000 0.5000 0.0000
0.5000 0.0000 0.5000
0.5000 0.5000 0.5000
```

Values from the calculation:
The uncorrected energy is -66.6 eV per cell. The value obtained for the calculated formation energy is 4.88 eV per formula unit. The total magnetization comes out at 0.00 μB per formula unit.



AlFe4Ag | PBE | optimized geometry

Geometry as POSCAR:
```
AlFe4Ag
1.0
0.0000 3.4246 3.4246
3.4246 0.0000 3.4246
3.4246 3.4246 0.0000
Al Fe Ag
1 4 1
direct
0.0000 0.0000 0.0000
0.8777 0.3741 0.3741
0.3741 0.3741 0.8777
0.3741 0.8777 0.3741
0.3741 0.3741 0.3741
0.7500 0.7500 0.7500
```

Values from the calculation:
The uncorrected energy is -39.6 eV per cell. The value obtained for the calculated formation energy is 0.84 eV per formula unit. The total magnetization comes out at 9.32 μB per formula unit.



FeSbAs | PBE | optimized geometry

Geometry as POSCAR:
```
FeSbAs
1.0
-2.8100 3.0580 0.9337
-4.1703 -0.7401 -0.4238
-2.4608 -0.3536 3.4552
As Fe Sb
1 1 1
direct
0.5000 0.5000 0.5000
0.7500 0.7500 0.7500
0.0000 0.0000 0.0000
```

Values from the calculation:
The formation energy without anion corrections comes out at 0.104 eV/atom. The uncorrected energy is -16.9 eV per cell. The total magnetization comes out at 0.00 μB per formula unit.



PmDyCuPd | PBE | optimized geometry

Geometry as POSCAR:
```
PmDyCuPd
1.0
5.0103 0.0000 0.0000
2.5052 4.3391 0.0000
2.5052 1.4464 4.0909
Pm Cu Pd Dy
1 1 1 1
direct
0.5000 0.5000 0.5000
0.2500 0.2500 0.2500
0.7500 0.7500 0.7500
0.0000 0.0000 0.0000
```

Values from the calculation:
The uncorrected energy is -20.7 eV per cell. The value obtained for the calculated formation energy is -2.06 eV per formula unit. The total magnetization comes out at 0.00 μB per formula unit.